Record 1
Crystalline CdGaPtO6 at its relaxed geometry, computed with PBE.

Summary:
- DOS(E_F) (states/eV per cell) = 11.32
- E_form (uncorrected) (meV per atom) = -744

Cell: 5.2357 5.2357 9.3908 Å, 90.00 90.00 120.00°
Fractional coordinates of all 18 atoms:
O  0.3694  0.0049  0.6365
O  0.3645  0.9951  0.1365
O  0.9951  0.3645  0.6365
Ga  0.6667  0.3333  0.2500
Ga  0.3333  0.6667  0.7500
Pt  0.3333  0.6667  0.2500
Pt  0.6667  0.3333  0.7500
O  0.6355  0.6306  0.6365
O  0.3694  0.3645  0.8635
O  0.6306  0.6355  0.1365
O  0.9951  0.6306  0.8635
Cd  0.0000  0.0000  0.0000
O  0.0049  0.3694  0.1365
O  0.6306  0.9951  0.3635
O  0.6355  0.0049  0.8635
O  0.3645  0.3694  0.3635
Cd  0.0000  0.0000  0.5000
O  0.0049  0.6355  0.3635



Record 2
Crystalline PuCd2GaO6 at its relaxed geometry, computed with PBE.

Summary:
- DOS(E_F) (states/eV per cell) = 8.83
- E_form (uncorrected) (meV per atom) = -1780

Cell: 5.5104 5.7779 5.6996 Å, 120.46 119.85 90.00°
Fractional coordinates of all 10 atoms:
Ga  0.5000  0.0000  0.0000
O  0.3816  0.7518  0.5036
Cd  0.7797  0.7498  0.4997
O  0.8069  0.8287  0.1361
O  0.1931  0.6926  0.8639
O  0.8069  0.3074  0.1361
Cd  0.2203  0.2502  0.5003
O  0.1931  0.1713  0.8639
O  0.6184  0.2482  0.4964
Pu  0.0000  0.5000  0.0000



Record 3
Crystalline RbCd2GaO4 at its relaxed geometry, computed with PBE.

Summary:
- E_form (uncorrected) (meV per atom) = -1360

Cell: 5.7041 5.7041 5.6867 Å, 120.10 120.10 90.00°
Fractional coordinates of all 8 atoms:
O  0.5508  0.5508  0.7246
Cd  0.2500  0.7500  0.5001
Rb  0.0000  0.0000  0.0001
O  0.1738  0.1738  0.7246
Ga  0.5000  0.5000  0.0001
O  0.4493  0.8263  0.2756
O  0.8263  0.4493  0.2756
Cd  0.7500  0.2500  0.5001



Record 4
Crystalline CdGaReO6 at its relaxed geometry, computed with PBE.

Summary:
- DOS(E_F) (states/eV per cell) = 0.00
- E_form (uncorrected) (meV per atom) = -1462

Cell: 4.8614 5.1694 5.1694 Å, 120.00 90.00 90.00°
Fractional coordinates of all 9 atoms:
O  0.2816  0.9558  0.6532
Cd  0.0000  0.3333  0.6667
Ga  0.5000  0.0000  0.0000
O  0.2816  0.6974  0.0442
Re  0.5000  0.6667  0.3333
O  0.2816  0.3468  0.3026
O  0.7184  0.6974  0.6532
O  0.7184  0.9558  0.3026
O  0.7184  0.3468  0.0442



Record 5
Crystalline CdGa2ReO8 at its relaxed geometry, computed with PBE.

Summary:
- DOS(E_F) (states/eV per cell) = 5.48
- E_form (uncorrected) (meV per atom) = -1344

Cell: 4.6827 4.6798 6.3526 Å, 90.00 90.00 91.34°
Fractional coordinates of all 12 atoms:
O  0.6768  0.6778  0.5000
O  0.3232  0.3222  0.5000
O  0.8007  0.2000  0.2072
O  0.1993  0.8000  0.2072
Re  0.0000  0.0000  0.0000
O  0.1993  0.8000  0.7928
Ga  0.5000  0.5000  0.7512
Cd  0.0000  0.0000  0.5000
O  0.2983  0.2977  0.0000
O  0.8007  0.2000  0.7928
Ga  0.5000  0.5000  0.2488
O  0.7017  0.7023  0.0000



Record 6
Crystalline CdGaRuO6 at its relaxed geometry, computed with PBE.

Summary:
- DOS(E_F) (states/eV per cell) = 8.33
- E_form (uncorrected) (meV per atom) = -996

Cell: 5.1735 5.1735 9.5408 Å, 90.00 90.00 120.00°
Fractional coordinates of all 18 atoms:
Cd  0.0000  0.0000  0.5000
Ru  0.6667  0.3333  0.7500
Ru  0.3333  0.6667  0.2500
O  0.6360  0.0114  0.8610
O  0.3754  0.0114  0.6390
Ga  0.6667  0.3333  0.2500
O  0.0114  0.6360  0.3610
O  0.9886  0.3640  0.6390
O  0.6246  0.6360  0.1390
O  0.3640  0.3754  0.3610
Cd  0.0000  0.0000  0.0000
O  0.6246  0.9886  0.3610
Ga  0.3333  0.6667  0.7500
O  0.9886  0.6246  0.8610
O  0.3754  0.3640  0.8610
O  0.6360  0.6246  0.6390
O  0.3640  0.9886  0.1390
O  0.0114  0.3754  0.1390



Which formula does entry 4 have?
CdGaReO6